An optimized crystal structure of Tl2CrIn2F6, computed with PBE with a Hubbard U.

abc: 6.384 6.384 6.659
angles: 97.38 97.38 112.94
Each line ends with the local moment (μB).
Atoms (fractional coordinates):
Tl (0.822, 0.178, 0.000)  0.00
Tl (0.178, 0.822, 0.000)  0.00
Cr (0.000, 0.000, 0.500)  3.80
In (0.342, 0.658, 0.500)  0.00
In (0.658, 0.342, 0.500)  0.00
F (0.836, 0.836, 0.783)  0.01
F (0.029, 0.313, 0.655)  0.00
F (0.164, 0.164, 0.217)  0.01
F (0.313, 0.029, 0.655)  0.00
F (0.971, 0.687, 0.345)  0.00
F (0.687, 0.971, 0.345)  0.00

Calculated values
Total DFT energy (no corrections): -49.89 eV for the cell shown
Size of the total moment: 4.00 μB/cell